The following is a DFT calculation (PBE) of a relaxed TiNiHgPd crystal.

```
TiNiHgPd
1.0
0.000 3.156 3.156
3.156 0.000 3.156
3.156 3.156 0.000
Ti Ni Hg Pd
1 1 1 1
direct
0.000 0.000 0.000 Ti
0.750 0.750 0.750 Ni
0.500 0.500 0.500 Hg
0.250 0.250 0.250 Pd
```

Summary:
Space group: F-43m
E_tot (eV/cell): -20.03
Crystal system: cubic

***

The following is a DFT calculation (PBE) of a relaxed MnInSn3 crystal.

```
MnInSn3
1.0
5.071 0.000 0.000
0.000 5.071 0.000
0.000 0.000 5.071
Mn In Sn
1 1 3
direct
0.000 0.000 0.000 Mn
0.500 0.500 0.500 In
0.000 0.000 0.500 Sn
0.000 0.500 0.000 Sn
0.500 0.000 0.000 Sn
```

Summary:
Space group: Pm-3m
E_tot (eV/cell): -23.08
Crystal system: cubic

***

The following is a DFT calculation (PBE) of a relaxed LiMnPRh2 crystal.

```
LiMnPRh2
1.0
4.365 0.000 0.000
0.000 4.365 0.000
0.000 0.000 4.321
Li Mn P Rh
1 1 1 2
direct
0.000 0.000 0.000 Li
0.500 0.500 0.000 Mn
0.000 0.000 0.500 P
0.000 0.500 0.500 Rh
0.500 0.000 0.500 Rh
```

Summary:
Space group: P4/mmm
E_tot (eV/cell): -31.42
Crystal system: tetragonal

***

The following is a DFT calculation (PBE) of a relaxed CaZr3Cr crystal.

```
CaZr3Cr
1.0
4.938 0.000 0.000
0.000 4.938 0.000
0.000 0.000 4.938
Ca Zr Cr
1 3 1
direct
0.000 0.000 0.000 Ca
0.000 0.000 0.500 Zr
0.000 0.500 0.000 Zr
0.500 0.000 0.000 Zr
0.500 0.500 0.500 Cr
```

Summary:
Space group: Pm-3m
E_tot (eV/cell): -26.49
Crystal system: cubic

***

- Which value of E_tot does entry 3 give?
  -31.42 eV/cell

***

- Which value of E_tot does entry 2 give?
  -23.08 eV/cell

***

- Number 1 is which compound?
  TiNiHgPd